Computed, not measured: a relaxed structure of ZnSiRh2 at the GGA-PBE level of DFT.

As for the density: 8.917 Mg/m³. As for the excess energy over the best structure of this formula in the dataset: 564 meV/atom. The formation energy without anion corrections is -0.1121 eV/atom. The value obtained for the magnetic moment is 0.00 μB/f.u.

The space group is F-43m (No. 216) and the conventional cell measures 6.0637, 6.0637 and 6.0637 Å, with angles of 90.00, 90.00 and 90.00 degrees. The distinct sites, in fractional coordinates, are Zn at (0.0000, 0.0000, 0.0000), Si at (0.2500, 0.2500, 0.7500), Rh at (0.0000, 0.0000, 0.5000) and Rh at (0.2500, 0.2500, 0.2500).

=====

Computed, not measured: a relaxed structure of Pm6BiTe2Se3 at the GGA-PBE level of DFT.

As for the density: 7.451 Mg/m³. The formation energy without anion corrections is -1.5496 eV/atom. The value obtained for the magnetic moment is 0.00 μB/f.u.

The space group is C2/m (No. 12) and the conventional cell measures 19.0424, 4.3234 and 8.7719 Å, with angles of 90.00, 104.14 and 90.00 degrees. The distinct sites, in fractional coordinates, are Pm at (0.0062, 0.0000, 0.2358), Pm at (0.1593, 0.5000, 0.0998), Pm at (0.1722, 0.5000, 0.5636), Bi at (0.0000, 0.5000, 0.5000), Te at (0.1677, 0.0000, 0.8337), Se at (0.0000, 0.5000, 0.0000) and Se at (0.1667, 0.0000, 0.3315).

=====

density of number 1 (ZnSiRh2)?
8.917 Mg/m³